{
  "formula": "DyN2Cl3",
  "functional": "PBE",
  "state": "optimized geometry",
  "cell": [[5.3077, 0.0000, 0.0000], [0.0000, 3.9781, 0.0000], [-2.6467, 0.0000, 9.4418]],
  "species": ["Dy", "N", "N", "Cl", "Cl", "Cl"],
  "fractional_positions": [[0.0000, 0.0000, 0.0000], [0.3168, 0.0000, 0.6336], [0.6832, 0.0000, 0.3664], [0.0935, 0.5000, 0.1870], [0.5000, 0.0000, 0.0000], [0.9065, 0.5000, 0.8130]],
  "formation_energy_uncorrected_mev_per_atom": 226,
  "total_energy_ev_per_atom": -4.24
}


{
  "formula": "DyNCl",
  "functional": "PBE",
  "state": "optimized geometry",
  "cell": [[7.2962, 0.0000, 0.0000], [0.0000, 3.6815, 0.0000], [-1.7717, 0.0000, 13.1922]],
  "species": ["Dy", "Dy", "Dy", "Dy", "Dy", "Dy", "N", "N", "N", "N", "N", "N", "Cl", "Cl", "Cl", "Cl", "Cl", "Cl"],
  "fractional_positions": [[0.1601, 0.2500, 0.4488], [0.2149, 0.7500, 0.0148], [0.2821, 0.7500, 0.6950], [0.7179, 0.2500, 0.3050], [0.7851, 0.2500, 0.9852], [0.8399, 0.7500, 0.5512], [0.0484, 0.2500, 0.0836], [0.1482, 0.7500, 0.5439], [0.2195, 0.2500, 0.1207], [0.7805, 0.7500, 0.8793], [0.8518, 0.2500, 0.4561], [0.9516, 0.7500, 0.9164], [0.0020, 0.7500, 0.2822], [0.3866, 0.2500, 0.8869], [0.4666, 0.7500, 0.3704], [0.5334, 0.2500, 0.6296], [0.6134, 0.7500, 0.1131], [0.9980, 0.2500, 0.7178]],
  "formation_energy_uncorrected_mev_per_atom": -1485,
  "total_energy_ev_per_atom": -6.41
}


{
  "formula": "Dy2NCl2",
  "functional": "PBE",
  "state": "optimized geometry",
  "cell": [[9.9105, -1.9186, 0.0000], [9.9105, 1.9186, 0.0000], [-1.0296, 0.0000, 7.1258]],
  "species": ["Dy", "Dy", "Dy", "Dy", "N", "N", "Cl", "Cl", "Cl", "Cl"],
  "fractional_positions": [[0.1704, 0.1704, 0.3585], [0.3197, 0.3197, 0.0700], [0.6803, 0.6803, 0.9300], [0.8296, 0.8296, 0.6415], [0.2097, 0.2097, 0.1003], [0.7903, 0.7903, 0.8997], [0.1061, 0.1061, 0.6873], [0.4189, 0.4189, 0.7892], [0.5811, 0.5811, 0.2108], [0.8939, 0.8939, 0.3127]],
  "formation_energy_uncorrected_mev_per_atom": -1839,
  "total_energy_ev_per_atom": -6.08
}


{
  "formula": "DyN2Cl4",
  "functional": "PBE",
  "state": "optimized geometry",
  "cell": [[9.4574, -1.9928, 0.0000], [9.4574, 1.9928, 0.0000], [-2.1332, 0.0000, 6.1377]],
  "species": ["Dy", "N", "N", "Cl", "Cl", "Cl", "Cl"],
  "fractional_positions": [[0.0000, 0.0000, 0.0000], [0.2659, 0.2659, 0.2638], [0.7341, 0.7341, 0.7362], [0.0581, 0.0581, 0.6770], [0.4069, 0.4069, 0.8180], [0.5931, 0.5931, 0.1820], [0.9419, 0.9419, 0.3230]],
  "formation_energy_uncorrected_mev_per_atom": 301,
  "total_energy_ev_per_atom": -3.79
}


{
  "formula": "Dy2NCl2",
  "functional": "PBE",
  "state": "optimized geometry",
  "cell": [[1.8022, 1.0405, 9.9366], [-1.8022, 1.0405, 9.9366], [0.0000, -2.0810, 9.9366]],
  "species": ["Dy", "Dy", "N", "Cl", "Cl"],
  "fractional_positions": [[0.1230, 0.1230, 0.1230], [0.8770, 0.8770, 0.8770], [0.5000, 0.5000, 0.5000], [0.2701, 0.2701, 0.2701], [0.7299, 0.7299, 0.7299]],
  "formation_energy_uncorrected_mev_per_atom": -1973,
  "total_energy_ev_per_atom": -6.22
}


{
  "formula": "Dy3NCl3",
  "functional": "PBE",
  "state": "optimized geometry",
  "cell": [[3.1605, 1.8247, 9.9329], [-3.1605, 1.8247, 9.9329], [0.0000, -3.6494, 9.9329]],
  "species": ["Dy", "Dy", "Dy", "Dy", "Dy", "Dy", "N", "N", "Cl", "Cl", "Cl", "Cl", "Cl", "Cl"],
  "fractional_positions": [[0.1057, 0.4554, 0.8051], [0.1949, 0.8943, 0.5446], [0.4554, 0.8051, 0.1057], [0.5446, 0.1949, 0.8943], [0.8051, 0.1057, 0.4554], [0.8943, 0.5446, 0.1949], [0.1667, 0.1667, 0.1667], [0.8333, 0.8333, 0.8333], [0.0689, 0.7242, 0.3966], [0.2758, 0.6034, 0.9311], [0.3966, 0.0689, 0.7242], [0.6034, 0.9311, 0.2758], [0.7242, 0.3966, 0.0689], [0.9311, 0.2758, 0.6034]],
  "formation_energy_uncorrected_mev_per_atom": -1806,
  "total_energy_ev_per_atom": -5.76
}


{
  "formula": "NdDyNCl",
  "functional": "PBE",
  "state": "optimized geometry",
  "cell": [[1.8061, 1.0427, 7.0113], [-1.8061, 1.0427, 7.0113], [0.0000, -2.0855, 7.0113]],
  "species": ["Nd", "Dy", "N", "Cl"],
  "fractional_positions": [[0.0000, 0.0000, 0.0000], [0.7920, 0.7920, 0.7920], [0.4096, 0.4096, 0.4096], [0.2242, 0.2242, 0.2242]],
  "formation_energy_uncorrected_mev_per_atom": -1566,
  "total_energy_ev_per_atom": -6.45
}


{
  "formula": "Pr2DyN2Cl2",
  "functional": "PBE",
  "state": "optimized geometry",
  "cell": [[-2.2540, 2.2540, 7.6341], [2.2540, -2.2540, 7.6341], [2.2540, 2.2540, -7.6341]],
  "species": ["Pr", "Pr", "Dy", "N", "N", "Cl", "Cl"],
  "fractional_positions": [[0.0983, 0.0983, 0.0000], [0.9017, 0.9017, 0.0000], [0.5000, 0.5000, 0.0000], [0.0000, 0.5000, 0.5000], [0.5000, 0.0000, 0.5000], [0.3169, 0.3169, 0.0000], [0.6831, 0.6831, 0.0000]],
  "formation_energy_uncorrected_mev_per_atom": -1482,
  "total_energy_ev_per_atom": -6.41
}


{
  "formula": "NaDy2Cl6",
  "functional": "PBE",
  "state": "optimized geometry",
  "cell": [[6.7184, 0.0000, 0.0000], [-3.3592, 5.8183, 0.0000], [0.0000, 0.0000, 6.5554]],
  "species": ["Na", "Dy", "Dy", "Cl", "Cl", "Cl", "Cl", "Cl", "Cl"],
  "fractional_positions": [[0.0000, 0.0000, 0.0000], [0.3333, 0.6667, 0.5000], [0.6667, 0.3333, 0.5000], [0.0000, 0.3445, 0.7365], [0.0000, 0.6555, 0.2635], [0.3445, 0.0000, 0.7365], [0.3445, 0.3445, 0.2635], [0.6555, 0.0000, 0.2635], [0.6555, 0.6555, 0.7365]],
  "formation_energy_uncorrected_mev_per_atom": -2030,
  "total_energy_ev_per_atom": -4.43
}


{
  "formula": "Na2Dy2Cl7",
  "functional": "PBE",
  "state": "optimized geometry",
  "cell": [[5.7340, -4.1718, 0.0000], [5.7340, 4.1718, 0.0000], [-0.4736, 0.0000, 6.7550]],
  "species": ["Na", "Na", "Dy", "Dy", "Cl", "Cl", "Cl", "Cl", "Cl", "Cl", "Cl"],
  "fractional_positions": [[0.2383, 0.7617, 0.0000], [0.7617, 0.2383, 0.0000], [0.2684, 0.2684, 0.5680], [0.7316, 0.7316, 0.4320], [0.0037, 0.5925, 0.7327], [0.0816, 0.0816, 0.7572], [0.4075, 0.9963, 0.2673], [0.5000, 0.5000, 0.5000], [0.5925, 0.0037, 0.7327], [0.9184, 0.9184, 0.2428], [0.9963, 0.4075, 0.2673]],
  "formation_energy_uncorrected_mev_per_atom": -1913,
  "total_energy_ev_per_atom": -4.16
}


{
  "formula": "NaDyCl2",
  "functional": "PBE",
  "state": "optimized geometry",
  "cell": [[1.8151, 1.0479, 9.9492], [-1.8151, 1.0479, 9.9492], [0.0000, -2.0959, 9.9492]],
  "species": ["Na", "Dy", "Cl", "Cl"],
  "fractional_positions": [[0.0000, 0.0000, 0.0000], [0.5000, 0.5000, 0.5000], [0.1060, 0.1060, 0.1060], [0.8940, 0.8940, 0.8940]],
  "formation_energy_uncorrected_mev_per_atom": -1389,
  "total_energy_ev_per_atom": -3.79
}


{
  "formula": "Na2DyCl6",
  "functional": "PBE",
  "state": "optimized geometry",
  "cell": [[5.7896, -2.0699, 0.0000], [5.7896, 2.0699, 0.0000], [-5.6363, 0.0000, 11.1390]],
  "species": ["Na", "Na", "Dy", "Cl", "Cl", "Cl", "Cl", "Cl", "Cl"],
  "fractional_positions": [[0.1350, 0.1350, 0.3366], [0.8650, 0.8650, 0.6634], [0.5000, 0.5000, 0.0000], [0.0990, 0.0990, 0.9290], [0.3115, 0.3115, 0.7821], [0.4038, 0.4038, 0.5296], [0.5962, 0.5962, 0.4704], [0.6885, 0.6885, 0.2179], [0.9010, 0.9010, 0.0710]],
  "formation_energy_uncorrected_mev_per_atom": -1716,
  "total_energy_ev_per_atom": -3.75
}


{
  "formula": "RbNaDy2Cl8",
  "functional": "PBE",
  "state": "optimized geometry",
  "cell": [[6.8163, 0.0000, 0.0000], [0.0000, 8.3347, 0.0000], [-0.5338, 0.0000, 6.9681]],
  "species": ["Rb", "Na", "Dy", "Dy", "Cl", "Cl", "Cl", "Cl", "Cl", "Cl", "Cl", "Cl"],
  "fractional_positions": [[0.0000, 0.0000, 0.0000], [0.0000, 0.5000, 0.0000], [0.5000, 0.2561, 0.5000], [0.5000, 0.7439, 0.5000], [0.2413, 0.2764, 0.2092], [0.2413, 0.7236, 0.2092], [0.3071, 0.5000, 0.6607], [0.3147, 0.0000, 0.6493], [0.6853, 0.0000, 0.3507], [0.6929, 0.5000, 0.3393], [0.7587, 0.2764, 0.7908], [0.7587, 0.7236, 0.7908]],
  "formation_energy_uncorrected_mev_per_atom": -2132,
  "total_energy_ev_per_atom": -4.32
}


{
  "formula": "RbNaDyCl5",
  "functional": "PBE",
  "state": "optimized geometry",
  "cell": [[4.4897, -6.4123, 0.0000], [4.4897, 6.4123, 0.0000], [-3.7824, 0.0000, 9.5296]],
  "species": ["Rb", "Rb", "Na", "Na", "Dy", "Dy", "Cl", "Cl", "Cl", "Cl", "Cl", "Cl", "Cl", "Cl", "Cl", "Cl"],
  "fractional_positions": [[0.1634, 0.8366, 0.7500], [0.8366, 0.1634, 0.2500], [0.1874, 0.8126, 0.2500], [0.8126, 0.1874, 0.7500], [0.5000, 0.5000, 0.0000], [0.5000, 0.5000, 0.5000], [0.1451, 0.2501, 0.9325], [0.2109, 0.5935, 0.4146], [0.2501, 0.1451, 0.4325], [0.4065, 0.7891, 0.0854], [0.4361, 0.5639, 0.7500], [0.5639, 0.4361, 0.2500], [0.5935, 0.2109, 0.9146], [0.7499, 0.8549, 0.5675], [0.7891, 0.4065, 0.5854], [0.8549, 0.7499, 0.0675]],
  "formation_energy_uncorrected_mev_per_atom": -2099,
  "total_energy_ev_per_atom": -4.11
}


{
  "formula": "RbNa2DyCl6",
  "functional": "PBE",
  "state": "optimized geometry",
  "cell": [[3.6296, 2.0955, 6.6229], [-3.6296, 2.0955, 6.6229], [0.0000, -4.1911, 6.6229]],
  "species": ["Rb", "Na", "Na", "Dy", "Cl", "Cl", "Cl", "Cl", "Cl", "Cl"],
  "fractional_positions": [[0.0000, 0.0000, 0.0000], [0.2818, 0.2818, 0.2818], [0.7971, 0.7971, 0.7971], [0.4784, 0.4784, 0.4784], [0.0859, 0.6331, 0.4535], [0.2271, 0.5517, 0.8596], [0.4535, 0.0859, 0.6331], [0.5517, 0.8596, 0.2271], [0.6331, 0.4535, 0.0859], [0.8596, 0.2271, 0.5517]],
  "formation_energy_uncorrected_mev_per_atom": -2043,
  "total_energy_ev_per_atom": -3.97
}


{
  "formula": "Rb2NaDyCl6",
  "functional": "PBE",
  "state": "optimized geometry",
  "cell": [[0.0000, 5.3921, 5.3921], [5.3921, 0.0000, 5.3921], [5.3921, 5.3921, 0.0000]],
  "species": ["Rb", "Rb", "Na", "Dy", "Cl", "Cl", "Cl", "Cl", "Cl", "Cl"],
  "fractional_positions": [[0.2500, 0.2500, 0.2500], [0.7500, 0.7500, 0.7500], [0.0000, 0.0000, 0.0000], [0.5000, 0.5000, 0.5000], [0.2558, 0.2558, 0.7442], [0.2558, 0.7442, 0.2558], [0.2558, 0.7442, 0.7442], [0.7442, 0.2558, 0.2558], [0.7442, 0.2558, 0.7442], [0.7442, 0.7442, 0.2558]],
  "formation_energy_uncorrected_mev_per_atom": -2100,
  "total_energy_ev_per_atom": -3.99
}


{
  "formula": "NaDySn2Cl8",
  "functional": "PBE",
  "state": "optimized geometry",
  "cell": [[6.4945, 0.0000, 0.0000], [0.1442, 6.7363, 0.0000], [0.0026, 0.0051, 8.4082]],
  "species": ["Na", "Dy", "Sn", "Sn", "Cl", "Cl", "Cl", "Cl", "Cl", "Cl", "Cl", "Cl"],
  "fractional_positions": [[0.0000, 0.0000, 0.0000], [0.0000, 0.0000, 0.5000], [0.4997, 0.4995, 0.2451], [0.5003, 0.5005, 0.7549], [0.2217, 0.8396, 0.2642], [0.2227, 0.8407, 0.7359], [0.2414, 0.3128, 0.4991], [0.2820, 0.3378, 0.0007], [0.7180, 0.6622, 0.9993], [0.7586, 0.6872, 0.5009], [0.7773, 0.1593, 0.2641], [0.7783, 0.1604, 0.7358]],
  "formation_energy_uncorrected_mev_per_atom": -1556,
  "total_energy_ev_per_atom": -3.95
}


{
  "formula": "NaDySnCl6",
  "functional": "PBE",
  "state": "optimized geometry",
  "cell": [[6.9932, 0.0000, 0.0000], [-3.4966, 6.0563, 0.0000], [0.0000, 0.0000, 12.3609]],
  "species": ["Na", "Na", "Dy", "Dy", "Sn", "Sn", "Cl", "Cl", "Cl", "Cl", "Cl", "Cl", "Cl", "Cl", "Cl", "Cl", "Cl", "Cl"],
  "fractional_positions": [[0.3333, 0.6667, 0.2500], [0.6667, 0.3333, 0.7500], [0.3333, 0.6667, 0.7500], [0.6667, 0.3333, 0.2500], [0.0000, 0.0000, 0.0000], [0.0000, 0.0000, 0.5000], [0.0187, 0.3537, 0.6288], [0.0187, 0.6650, 0.8712], [0.3350, 0.3537, 0.8712], [0.3350, 0.9813, 0.6288], [0.3537, 0.0187, 0.1288], [0.3537, 0.3350, 0.3712], [0.6463, 0.6650, 0.6288], [0.6463, 0.9813, 0.8712], [0.6650, 0.0187, 0.3712], [0.6650, 0.6463, 0.1288], [0.9813, 0.3350, 0.1288], [0.9813, 0.6463, 0.3712]],
  "formation_energy_uncorrected_mev_per_atom": -1745,
  "total_energy_ev_per_atom": -4.08
}


{
  "formula": "NaDyVCl6",
  "functional": "PBE",
  "state": "optimized geometry",
  "cell": [[6.5568, 0.0000, 0.0000], [-3.2784, 5.6783, 0.0000], [0.0000, 0.0000, 12.7210]],
  "species": ["Na", "Na", "Dy", "Dy", "V", "V", "Cl", "Cl", "Cl", "Cl", "Cl", "Cl", "Cl", "Cl", "Cl", "Cl", "Cl", "Cl"],
  "fractional_positions": [[0.0000, 0.0000, 0.0000], [0.0000, 0.0000, 0.5000], [0.3333, 0.6667, 0.2500], [0.6667, 0.3333, 0.7500], [0.3333, 0.6667, 0.7500], [0.6667, 0.3333, 0.2500], [0.0187, 0.3638, 0.6352], [0.0187, 0.6548, 0.8648], [0.3452, 0.3638, 0.8648], [0.3452, 0.9813, 0.6352], [0.3638, 0.0187, 0.1352], [0.3638, 0.3452, 0.3648], [0.6362, 0.6548, 0.6352], [0.6362, 0.9813, 0.8648], [0.6548, 0.0187, 0.3648], [0.6548, 0.6362, 0.1352], [0.9813, 0.3452, 0.1352], [0.9813, 0.6362, 0.3648]],
  "formation_energy_uncorrected_mev_per_atom": -1799,
  "total_energy_ev_per_atom": -4.70
}


{
  "formula": "NaDyZnCl6",
  "functional": "PBE",
  "state": "optimized geometry",
  "cell": [[6.6209, 0.0000, 0.0000], [-3.3104, 5.7339, 0.0000], [0.0000, 0.0000, 12.5818]],
  "species": ["Na", "Na", "Dy", "Dy", "Zn", "Zn", "Cl", "Cl", "Cl", "Cl", "Cl", "Cl", "Cl", "Cl", "Cl", "Cl", "Cl", "Cl"],
  "fractional_positions": [[0.0000, 0.0000, 0.0000], [0.0000, 0.0000, 0.5000], [0.3333, 0.6667, 0.2500], [0.6667, 0.3333, 0.7500], [0.3333, 0.6667, 0.7500], [0.6667, 0.3333, 0.2500], [0.0173, 0.3667, 0.6346], [0.0173, 0.6506, 0.8654], [0.3494, 0.3667, 0.8654], [0.3494, 0.9827, 0.6346], [0.3667, 0.0173, 0.1346], [0.3667, 0.3494, 0.3654], [0.6333, 0.6506, 0.6346], [0.6333, 0.9827, 0.8654], [0.6506, 0.0173, 0.3654], [0.6506, 0.6333, 0.1346], [0.9827, 0.3494, 0.1346], [0.9827, 0.6333, 0.3654]],
  "formation_energy_uncorrected_mev_per_atom": -1768,
  "total_energy_ev_per_atom": -3.80
}


{
  "formula": "DyNbCl",
  "functional": "PBE",
  "state": "optimized geometry",
  "cell": [[3.4868, 0.0000, 0.0000], [0.0103, 3.4870, 0.0000], [0.0137, 0.0037, 12.0780]],
  "species": ["Dy", "Dy", "Nb", "Nb", "Cl", "Cl"],
  "fractional_positions": [[0.2490, 0.2493, 0.2239], [0.7510, 0.7507, 0.7761], [0.2503, 0.2501, 0.9464], [0.7497, 0.7499, 0.0536], [0.2514, 0.2509, 0.6463], [0.7486, 0.7491, 0.3537]],
  "formation_energy_uncorrected_mev_per_atom": -811,
  "total_energy_ev_per_atom": -6.32
}